Compound: TiPb
Source: Alexandria via LeMat-Bulk
Functional: PBE-GGA
Structure: relaxed

ΔH_f (0 K) = 704.6 meV/atom
space group = I-43m

abc: 8.572 8.572 8.572
angles: 90.00 90.00 90.00
Fractional coordinates of all 16 atoms:
Ti (0.112, 0.112, 0.112)
Ti (0.112, 0.888, 0.888)
Ti (0.888, 0.112, 0.888)
Ti (0.888, 0.888, 0.112)
Ti (0.612, 0.612, 0.612)
Ti (0.612, 0.388, 0.388)
Ti (0.388, 0.612, 0.388)
Ti (0.388, 0.388, 0.612)
Pb (0.298, 0.298, 0.298)
Pb (0.298, 0.702, 0.702)
Pb (0.702, 0.298, 0.702)
Pb (0.702, 0.702, 0.298)
Pb (0.798, 0.798, 0.798)
Pb (0.798, 0.202, 0.202)
Pb (0.202, 0.798, 0.202)
Pb (0.202, 0.202, 0.798)

Compound: Ta3NbRh6
Source: Alexandria via LeMat-Bulk
Functional: PBE-GGA
Structure: relaxed

ΔH_f (0 K) = -497.3 meV/atom
space group = P-1

abc: 4.803 7.435 9.963
angles: 113.37 106.38 79.59
Fractional coordinates of all 20 atoms:
Ta (0.251, 0.531, 0.392)
Ta (0.749, 0.469, 0.608)
Ta (0.255, 0.354, 0.802)
Ta (0.745, 0.646, 0.198)
Ta (0.219, 0.774, 0.004)
Ta (0.781, 0.226, 0.996)
Nb (0.288, 0.946, 0.608)
Nb (0.712, 0.054, 0.392)
Rh (0.256, 0.451, 0.097)
Rh (0.744, 0.549, 0.903)
Rh (0.243, 0.151, 0.201)
Rh (0.757, 0.849, 0.799)
Rh (0.255, 0.649, 0.701)
Rh (0.745, 0.351, 0.299)
Rh (0.236, 0.245, 0.501)
Rh (0.764, 0.755, 0.499)
Rh (0.234, 0.849, 0.303)
Rh (0.766, 0.151, 0.697)
Rh (0.264, 0.057, 0.899)
Rh (0.736, 0.943, 0.101)

Compound: TaIn2Mo
Source: Alexandria via LeMat-Bulk
Functional: PBE-GGA
Structure: relaxed

ΔH_f (0 K) = 285.0 meV/atom
space group = Pm
ΔE to the lowest computed polymorph = 0.0934 eV/atom

abc: 4.796 2.944 5.454
angles: 83.73 90.00 90.00
Fractional coordinates of all 4 atoms:
In (0.000, 0.075, 0.980)
In (0.500, 0.173, 0.270)
Mo (0.000, 0.556, 0.501)
Ta (0.500, 0.696, 0.749)

Compound: LiNiIr2
Source: Alexandria via LeMat-Bulk
Functional: PBE-GGA
Structure: relaxed

ΔH_f (0 K) = 26.2 meV/atom
space group = P4mm
ΔE to the lowest computed polymorph = 0.1019 eV/atom

abc: 2.716 2.716 7.240
angles: 90.00 90.00 90.00
Fractional coordinates of all 4 atoms:
Ir (0.000, 0.000, 0.990)
Ir (0.500, 0.500, 0.246)
Li (0.000, 0.000, 0.510)
Ni (0.500, 0.500, 0.753)

Compound: NdEr2ScTe4
Source: Alexandria via LeMat-Bulk
Functional: PBE-GGA
Structure: relaxed

formation energy (no corrections) = -1.2197 eV per atom
space group = P2/m

abc: 4.280 7.572 7.517
angles: 108.78 90.00 90.00
Fractional coordinates of all 8 atoms:
Nd (0.500, 0.500, 0.000)
Er (0.500, 0.000, 0.500)
Er (0.000, 0.500, 0.500)
Sc (0.000, 0.000, 0.000)
Te (0.500, 0.238, 0.248)
Te (0.500, 0.762, 0.752)
Te (0.000, 0.237, 0.744)
Te (0.000, 0.763, 0.256)

Compound: NaAlSb
Source: Alexandria via LeMat-Bulk
Functional: PBE-GGA
Structure: relaxed

formation energy (no corrections) = -0.0905 eV per atom
space group = Immm

abc: 5.488 3.667 8.786
angles: 102.04 108.20 90.00
Fractional coordinates of all 6 atoms:
Na (0.340, 0.840, 0.679)
Na (0.660, 0.160, 0.321)
Al (0.269, 0.500, 0.000)
Al (0.731, 0.500, 0.000)
Sb (0.861, 0.361, 0.722)
Sb (0.139, 0.639, 0.278)

Compound: Sr2CaAsO
Source: Alexandria via LeMat-Bulk
Functional: PBE-GGA
Structure: relaxed

formation energy (no corrections) = -1.5199 eV per atom
space group = P4/mmm

abc: 5.168 5.168 4.605
angles: 90.00 90.00 90.00
Fractional coordinates of all 5 atoms:
Sr (0.000, 0.500, 0.000)
Sr (0.500, 0.000, 0.000)
As (0.500, 0.500, 0.500)
Ca (0.000, 0.000, 0.500)
O (0.000, 0.000, 0.000)

Compound: Zn2AgMoI
Source: Alexandria via LeMat-Bulk
Functional: PBE-GGA
Structure: relaxed

formation energy (no corrections) = 1.6348 eV per atom
space group = P4/mmm

abc: 5.473 5.383 5.473
angles: 90.00 90.00 90.00
Fractional coordinates of all 5 atoms:
I (0.000, 0.000, 0.000)
Mo (0.500, 0.500, 0.500)
Zn (0.000, 0.000, 0.500)
Zn (0.500, 0.000, 0.000)
Ag (0.000, 0.500, 0.000)

Copy entry 1 word for word.
Compound: TiPb
Source: Alexandria via LeMat-Bulk
Functional: PBE-GGA
Structure: relaxed

ΔH_f (0 K) = 704.6 meV/atom
space group = I-43m

abc: 8.572 8.572 8.572
angles: 90.00 90.00 90.00
Fractional coordinates of all 16 atoms:
Ti (0.112, 0.112, 0.112)
Ti (0.112, 0.888, 0.888)
Ti (0.888, 0.112, 0.888)
Ti (0.888, 0.888, 0.112)
Ti (0.612, 0.612, 0.612)
Ti (0.612, 0.388, 0.388)
Ti (0.388, 0.612, 0.388)
Ti (0.388, 0.388, 0.612)
Pb (0.298, 0.298, 0.298)
Pb (0.298, 0.702, 0.702)
Pb (0.702, 0.298, 0.702)
Pb (0.702, 0.702, 0.298)
Pb (0.798, 0.798, 0.798)
Pb (0.798, 0.202, 0.202)
Pb (0.202, 0.798, 0.202)
Pb (0.202, 0.202, 0.798)